Material: CeTh4O10
Method: DFT, PBE
State: optimized geometry

```
15
Lattice="11.2885 8.6670 0.6734 7.6776 11.7926 -2.2338 -10.4601 -9.1423 3.1630" Properties=species:S:1:pos:R:3 pbc="T T T"
O 3.2432 2.8141 1.6854
O 3.3503 6.4400 0.0745
O -0.4684 2.3207 0.3887
O 5.2628 8.5032 -0.0828
O 5.1557 4.8772 1.5281
O 1.3371 0.7578 1.8423
O 7.1689 10.5594 -0.2396
O 7.0683 6.9404 1.3707
O 1.4377 4.3769 0.2319
O 8.9744 8.9966 1.2139
Th 7.6110 8.2104 -0.6262
Th 11.3551 12.2493 -0.9342
Th 3.7859 4.0840 -0.3115
Th 15.1802 16.3756 -1.2489
Ce 0.0000 0.0000 0.0000
```

Computed properties:
Uncorrected energy   -0.69736 Ry per atom
Space-group type   I4/mmm (139)
M_tot   0.0000 μB/atom
D(E_F)   0.000 states/eV/atom
Uncorrected formation energy   -3808 meV per atom



Material: LaPm3Sm4S8
Method: DFT, PBE
State: optimized geometry

```
16
Lattice="-4.8858 -6.0902 -2.0557 6.4302 -4.6435 -1.5256 -0.7911 3.5543 7.2053" Properties=species:S:1:pos:R:3 pbc="T T T"
Pm 0.3767 -3.5898 1.8120
Pm 0.7722 -5.3669 -1.7906
Pm 2.8196 -0.5446 2.8398
Sm -2.8384 -1.2680 2.5748
Sm -0.3955 1.7771 3.6026
Sm 0.0000 0.0000 0.0000
Sm -2.4429 -3.0451 -1.0279
S 3.6158 -5.0430 -1.6607
S -0.0201 -0.8956 2.7010
S -2.8625 -2.1365 5.2847
S 0.7735 -6.2839 0.9230
S 3.2163 -3.2480 1.9783
S -0.4442 0.8779 6.3022
S -2.4629 -3.9315 1.6456
S 1.1975 -8.0575 -2.6782
La 3.2151 -2.3218 -0.7628
```

Computed properties:
Uncorrected energy   -0.47656 Ry per atom
Space-group type   R-3m (166)
M_tot   0.0000 μB/atom
D(E_F)   0.574 states/eV/atom
Uncorrected formation energy   -2042 meV per atom



Material: LaTbPr2Ho2
Method: DFT, PBE
State: optimized geometry

```
12
Lattice="-5.5971 1.2337 0.0525 -1.8341 -8.0854 -5.5446 -0.7968 -3.8660 5.9012" Properties=species:S:1:pos:R:3 pbc="T T T"
Ho -1.4217 -6.3556 -2.2247
Ho -3.3040 -1.7001 0.5799
Ho -4.9240 -9.0177 -0.1708
Ho -1.2092 -5.5958 2.5814
La 0.0000 0.0000 0.0000
La -4.1140 -5.3589 0.2046
Pr -0.8085 -3.6517 -0.3880
Pr -3.6998 -3.6204 3.5129
Pr -1.8224 -8.2997 0.7446
Pr -4.5282 -7.0973 -3.1038
Tb -3.7156 -3.4258 -2.7460
Tb -0.3984 -1.9330 2.9506
```

Computed properties:
Uncorrected energy   -0.34176 Ry per atom
Formation energy   62 meV per atom
Space-group type   Pnnm (58)
M_tot   0.0000 μB/atom
D(E_F)   1.530 states/eV/atom